1.
## Zr2UOs (GGA-PBE)

Data for a relaxed structure of Zr2UOs.

a = 4.925 Å, b = 4.925 Å, c = 3.242 Å
α = 90.00°, β = 90.00°, γ = 90.00°
Space group P4/mmm (No. 123)
Symmetry-distinct sites (fractional):
1 Zr 0.000 0.500 0.000 [2 per cell]
2 U 0.000 0.000 0.500 [1 per cell]
3 Os 0.500 0.500 0.500 [1 per cell]

Calculated formation energy in kcal/mol of atoms: 2.75
Energy relative to the lowest polymorph listed for this composition in eV/f.u.: 0.69
DFT total energy in eV per atom: -9.78



2.
## ZrUOs2 (GGA-PBE)

Data for a relaxed structure of ZrUOs2.

a = 3.208 Å, b = 3.208 Å, c = 7.180 Å
α = 90.00°, β = 90.00°, γ = 90.00°
Space group P4/mmm (No. 123)
Symmetry-distinct sites (fractional):
1 Zr 0.000 0.000 0.000 [1 per cell]
2 U 0.000 0.000 0.500 [1 per cell]
3 Os 0.500 0.500 0.237 [2 per cell]

Calculated formation energy in kcal/mol of atoms: -5.37
DFT total energy in eV per atom: -10.81



Question: DFT total energy of number 1 (Zr2UOs)?
Answer: -9.78 eV per atom